(1)
This record from the Alexandria database describes a geometry-optimized Ho2ScSb structure. The functional is PBE.

Output
Calculated total energy ... -5.36 eV per atom
Uncorrected formation energy ... -0.457 eV/atom
Crystal system ... tetragonal

```
Ho2ScSb
1.0
4.6929 0.0000 0.0000
0.0000 4.6600 0.0000
0.0000 0.0000 4.6600
Sc Sb Ho
1 1 2
direct
0.5000 0.0000 0.0000
0.5000 0.5000 0.5000
0.0000 0.0000 0.5000
0.0000 0.5000 0.0000
```

---

(2)
This record from the Alexandria database describes a geometry-optimized Ho2Sc3Sb2 structure. The functional is PBE.

Output
Calculated total energy ... -5.84 eV per atom
Uncorrected formation energy ... -0.638 eV/atom
Crystal system ... monoclinic

```
Ho2Sc3Sb2
1.0
-4.1089 -0.0614 -0.6578
2.8871 -2.8346 -4.6044
-0.9147 -5.1480 6.1937
Ho Sc Sb
2 3 2
direct
0.8711 0.7422 0.2197
0.1289 0.2578 0.7803
0.5000 0.0000 0.0000
0.6243 0.2486 0.4445
0.3757 0.7514 0.5555
0.8337 0.6675 0.7960
0.1663 0.3325 0.2040
```

---

(3)
This record from the Alexandria database describes a geometry-optimized Ho4ScSb structure. The functional is PBE.

Output
Calculated total energy ... -4.72 eV per atom
Uncorrected formation energy ... 0.070 eV/atom
Crystal system ... monoclinic

```
Ho4ScSb
1.0
-2.7902 -4.2593 -0.0209
4.2431 -2.7818 0.4455
-0.5664 0.3297 7.5273
Ho Sc Sb
4 1 1
direct
0.5012 0.9969 0.2551
0.5014 0.9977 0.7411
0.0015 0.4974 0.7411
0.0011 0.4971 0.2552
0.0013 0.9973 0.4981
0.5013 0.4973 0.9981
```

---

(4)
This record from the Alexandria database describes a geometry-optimized Ho5ScSb4 structure. The functional is PBE.

Output
Calculated total energy ... -5.26 eV per atom
Uncorrected formation energy ... -0.688 eV/atom
Crystal system ... monoclinic

```
Ho5ScSb4
1.0
-3.2853 2.3664 -1.2330
-5.1691 -6.0823 2.0998
2.5298 3.9766 8.1551
Ho Sc Sb
5 1 4
direct
0.8223 0.6481 0.6446
0.8343 0.1831 0.6685
0.1657 0.8169 0.3315
0.5000 0.5000 0.0000
0.1777 0.3519 0.3554
0.5000 0.0000 0.0000
0.3351 0.9187 0.6701
0.9938 0.7527 0.9876
0.6649 0.0813 0.3299
0.0062 0.2473 0.0124
```

---

(5)
This record from the Alexandria database describes a geometry-optimized HoSc3Sb3 structure. The functional is PBE.

Output
Calculated total energy ... -5.93 eV per atom
Uncorrected formation energy ... -0.793 eV/atom
Crystal system ... trigonal

```
HoSc3Sb3
1.0
-4.5217 7.3258 0.2467
-7.3856 0.6515 -4.3820
-6.9285 0.6744 3.3144
Ho Sc Sb
2 6 6
direct
0.3348 0.3348 0.9955
0.6652 0.6652 0.0045
0.3440 0.8162 0.7591
0.8162 0.0807 0.7591
0.0807 0.3440 0.7591
0.9193 0.6560 0.2409
0.1838 0.9193 0.2409
0.6560 0.1838 0.2409
0.2933 0.5310 0.2587
0.9170 0.2933 0.2587
0.5310 0.9170 0.2587
0.4690 0.0830 0.7413
0.0830 0.7067 0.7413
0.7067 0.4690 0.7413
```

---

(6)
This record from the Alexandria database describes a geometry-optimized HoSc2Sb3 structure. The functional is PBE.

Output
Calculated total energy ... -5.92 eV per atom
Uncorrected formation energy ... -0.982 eV/atom
Crystal system ... monoclinic

```
HoSc2Sb3
1.0
-1.2700 3.4369 -4.7564
-2.0806 -6.8896 -4.4226
-12.0339 1.0736 3.9889
Ho Sc Sb
4 8 12
direct
0.2497 0.8737 0.0793
0.2497 0.3737 0.4207
0.7503 0.6263 0.5793
0.7503 0.1263 0.9207
0.2507 0.8748 0.7551
0.2507 0.3748 0.7449
0.2497 0.8756 0.4149
0.2497 0.3756 0.0851
0.7503 0.6244 0.9149
0.7503 0.1244 0.5851
0.7493 0.6252 0.2551
0.7493 0.1252 0.2449
0.2503 0.6347 0.5868
0.2503 0.1347 0.9132
0.2503 0.6151 0.9124
0.2503 0.1151 0.5876
0.2494 0.6247 0.2508
0.2494 0.1247 0.2492
0.7506 0.8753 0.7508
0.7506 0.3753 0.7492
0.7497 0.8849 0.4124
0.7497 0.3849 0.0876
0.7497 0.8653 0.0868
0.7497 0.3653 0.4132
```

---

(7)
This record from the Alexandria database describes a geometry-optimized Ho2ScSb structure. The functional is PBE.

Output
Calculated total energy ... -5.14 eV per atom
Uncorrected formation energy ... -0.240 eV/atom
Crystal system ... trigonal

```
Ho2ScSb
1.0
3.9569 0.0000 0.0000
1.9785 3.4268 0.0000
1.9785 1.1423 9.0360
Ho Sc Sb
2 1 1
direct
0.0714 0.0714 0.7859
0.2620 0.2620 0.2141
0.5005 0.5005 0.4986
0.6662 0.6662 0.0014
```

---

(8)
This record from the Alexandria database describes a geometry-optimized Ho4ScSb4 structure. The functional is PBE.

Output
Calculated total energy ... -5.11 eV per atom
Uncorrected formation energy ... -0.542 eV/atom
Crystal system ... tetragonal

```
Ho4ScSb4
1.0
-5.1396 3.7585 3.2003
2.7977 -1.5886 6.3587
4.9315 4.3172 -5.0845
Ho Sc Sb
4 1 4
direct
0.5000 0.0000 0.0000
0.0000 0.5000 0.0000
0.2744 0.2744 0.5489
0.7256 0.7256 0.4511
0.0000 0.0000 0.0000
0.6387 0.6387 0.7444
0.3613 0.8943 0.2556
0.1057 0.1057 0.7444
0.8943 0.3613 0.2556
```

---

(9)
This record from the Alexandria database describes a geometry-optimized Ho3ScSb2 structure. The functional is PBE.

Output
Calculated total energy ... -5.53 eV per atom
Uncorrected formation energy ... -0.807 eV/atom
Crystal system ... orthorhombic

```
Ho3ScSb2
1.0
6.2181 0.0000 0.0000
0.0000 6.2061 0.0000
-3.1090 -3.1030 8.3025
Ho Sc Sb
6 2 4
direct
0.4254 0.6743 0.3487
0.5746 0.3257 0.6513
0.0767 0.8257 0.6513
0.9233 0.1743 0.3487
0.5000 0.7500 0.0000
0.5000 0.2500 0.0000
0.0000 0.2500 0.0000
0.0000 0.7500 0.0000
0.3818 0.1376 0.2752
0.6182 0.8624 0.7248
0.1066 0.3624 0.7248
0.8934 0.6376 0.2752
```

---

(10)
This record from the Alexandria database describes a geometry-optimized HoSc5Sb6 structure. The functional is PBE.

Output
Calculated total energy ... -6.04 eV per atom
Uncorrected formation energy ... -0.961 eV/atom
Crystal system ... monoclinic

```
HoSc5Sb6
1.0
7.2757 0.2002 0.0000
2.2408 6.9167 0.0000
1.1204 3.4583 6.3027
Ho Sc Sb
1 5 6
direct
0.0000 0.0000 0.0000
0.5000 0.1627 0.6745
0.0000 0.3320 0.3360
0.5000 0.5000 0.0000
0.0000 0.6680 0.6640
0.5000 0.8373 0.3255
0.7439 0.0857 0.3412
0.2561 0.5731 0.3412
0.2520 0.2580 0.0000
0.7480 0.7420 0.0000
0.7439 0.4269 0.6588
0.2561 0.9143 0.6588
```

---

(11)
This record from the Alexandria database describes a geometry-optimized Ho3Sc5Sb8 structure. The functional is PBE.

Output
Calculated total energy ... -5.89 eV per atom
Uncorrected formation energy ... -0.994 eV/atom
Crystal system ... trigonal

```
Ho3Sc5Sb8
1.0
7.3663 0.0000 4.2194
2.4747 6.9381 4.2194
0.0323 0.0228 8.4832
Ho Sc Sb
3 5 8
direct
0.5000 0.0000 0.5000
0.0000 0.0000 0.5000
0.0000 0.5000 0.5000
0.5000 0.0000 0.0000
0.5000 0.5000 0.0000
0.0000 0.0000 0.0000
0.0000 0.5000 0.0000
0.5000 0.5000 0.5000
0.2500 0.2500 0.7592
0.2500 0.7408 0.7592
0.7408 0.2500 0.7592
0.7454 0.7454 0.7639
0.7500 0.7500 0.2408
0.7500 0.2592 0.2408
0.2592 0.7500 0.2408
0.2546 0.2546 0.2361
```

---

(12)
This record from the Alexandria database describes a geometry-optimized Ho3ScSb4 structure. The functional is PBE.

Output
Calculated total energy ... -5.63 eV per atom
Uncorrected formation energy ... -1.061 eV/atom
Crystal system ... monoclinic

```
Ho3ScSb4
1.0
-4.2108 6.0319 1.3661
-4.2957 -6.1225 0.1179
1.4893 -0.8816 8.4829
Sc Sb Ho
2 8 6
direct
0.7500 0.0000 0.8756
0.2500 0.0000 0.1244
0.9954 0.2458 0.6295
0.5002 0.2407 0.8800
0.4954 0.2458 0.3705
0.0002 0.2407 0.1200
0.9998 0.7593 0.8800
0.5046 0.7542 0.6295
0.4998 0.7593 0.1200
0.0046 0.7542 0.3705
0.7500 0.0000 0.3743
0.2500 0.0000 0.6257
0.7500 0.5000 0.6261
0.7500 0.5000 0.1245
0.2500 0.5000 0.3739
0.2500 0.5000 0.8755
```

---

Please write out number 8 again, unchanged.
This record from the Alexandria database describes a geometry-optimized Ho4ScSb4 structure. The functional is PBE.

Output
Calculated total energy ... -5.11 eV per atom
Uncorrected formation energy ... -0.542 eV/atom
Crystal system ... tetragonal

```
Ho4ScSb4
1.0
-5.1396 3.7585 3.2003
2.7977 -1.5886 6.3587
4.9315 4.3172 -5.0845
Ho Sc Sb
4 1 4
direct
0.5000 0.0000 0.0000
0.0000 0.5000 0.0000
0.2744 0.2744 0.5489
0.7256 0.7256 0.4511
0.0000 0.0000 0.0000
0.6387 0.6387 0.7444
0.3613 0.8943 0.2556
0.1057 0.1057 0.7444
0.8943 0.3613 0.2556
```

---

Please write out number 12 again, unchanged.
This record from the Alexandria database describes a geometry-optimized Ho3ScSb4 structure. The functional is PBE.

Output
Calculated total energy ... -5.63 eV per atom
Uncorrected formation energy ... -1.061 eV/atom
Crystal system ... monoclinic

```
Ho3ScSb4
1.0
-4.2108 6.0319 1.3661
-4.2957 -6.1225 0.1179
1.4893 -0.8816 8.4829
Sc Sb Ho
2 8 6
direct
0.7500 0.0000 0.8756
0.2500 0.0000 0.1244
0.9954 0.2458 0.6295
0.5002 0.2407 0.8800
0.4954 0.2458 0.3705
0.0002 0.2407 0.1200
0.9998 0.7593 0.8800
0.5046 0.7542 0.6295
0.4998 0.7593 0.1200
0.0046 0.7542 0.3705
0.7500 0.0000 0.3743
0.2500 0.0000 0.6257
0.7500 0.5000 0.6261
0.7500 0.5000 0.1245
0.2500 0.5000 0.3739
0.2500 0.5000 0.8755
```